Entry from Alexandria: a relaxed Cs2LaCoF6 crystal (GGA+U).

Computed properties:
size of the total moment = 2.0 μB/cell
D(E_F) = 0.000 states/eV/cell
raw total energy = -5.202 eV/atom

Cell and atoms, written as extended XYZ:
```
10
Lattice="-3.2676 3.2676 4.6311 3.2676 -3.2676 4.6311 3.2676 3.2676 -4.6311" Properties=species:S:1:pos:R:3 pbc="T T T"
Cs 3.2676 0.0000 2.3156
Cs 0.0000 3.2676 2.3156
La 0.0000 0.0000 0.0000
Co 0.0000 0.0000 4.6311
F 0.0000 0.0000 2.3307
F 1.6472 1.6472 0.0000
F 1.6204 -1.6204 4.6311
F -1.6204 1.6204 4.6311
F 0.0000 0.0000 6.9315
F 1.6204 1.6204 4.6311
```